SrCoSeO: optimized geometry, PBE with a Hubbard U.

Density: 4799 kg/m³
Magnetic moment: 12.0 μB/cell
Raw total energy: -5.30 eV/atom

a = 6.183 Å, b = 9.058 Å, c = 5.968 Å
α = 90.00°, β = 90.00°, γ = 90.00°
Space group Pca2_1 (No. 29)
Unique sites:
Sr 0.001 0.182 0.000
Co 0.101 0.568 0.919
Se 0.003 0.167 0.499
O 0.109 0.560 0.573